a:
First-principles (PBE-GGA) data for a geometry-optimized SiAgOs structure, as listed in Alexandria.

Computed properties:
Its space-group type is I4mm (107). The crystal system is tetragonal.

Geometry as POSCAR:
```
SiAgOs
1.0
-1.523 1.523 4.967
1.523 -1.523 4.967
1.523 1.523 -4.967
Si Ag Os
1 1 1
Direct
0.000 0.000 0.000
0.687 0.687 0.000
0.393 0.393 0.000
```


b:
First-principles (PBE-GGA) data for a geometry-optimized SiAgOs structure, as listed in Alexandria.

Computed properties:
Its space-group type is P3m1 (156). The crystal system is trigonal.

Geometry as POSCAR:
```
SiAgOs
1.0
4.138 0.000 0.000
-2.069 3.583 0.000
0.000 0.000 3.136
Si Ag Os
1 1 1
Direct
0.000 0.000 0.000
0.333 0.667 0.502
0.667 0.333 0.002
```


c:
First-principles (PBE-GGA) data for a geometry-optimized SiAgOs structure, as listed in Alexandria.

Computed properties:
Its space-group type is Fmm2 (42). The crystal system is orthorhombic.

Geometry as POSCAR:
```
SiAgOs
1.0
0.000 2.406 6.487
1.516 0.000 6.487
1.516 2.406 0.000
Si Ag Os
1 1 1
Direct
0.000 0.000 0.000
0.327 0.327 0.673
0.635 0.635 0.365
```


Which of them is the least stable? Correct choice: c.


a:
First-principles (PBE-GGA) data for a geometry-optimized Sm8Ag2Os structure, as listed in Alexandria.

Computed properties:
Its space-group type is C2/m (12). The crystal system is monoclinic.

Geometry as POSCAR:
```
Sm8Ag2Os
1.0
8.889 -2.646 0.000
8.889 2.646 0.000
-2.084 0.000 6.701
Sm Ag Os
8 2 1
Direct
0.026 0.026 0.294
0.200 0.200 0.809
0.341 0.341 0.528
0.411 0.411 0.068
0.589 0.589 0.932
0.659 0.659 0.472
0.800 0.800 0.191
0.974 0.974 0.706
0.183 0.183 0.216
0.817 0.817 0.784
0.500 0.500 0.500
```


b:
First-principles (PBE-GGA) data for a geometry-optimized Sm8Ag2Os structure, as listed in Alexandria.

Computed properties:
Its space-group type is Cm (8). The crystal system is monoclinic.

Geometry as POSCAR:
```
Sm8Ag2Os
1.0
3.913 -7.972 0.000
3.913 7.972 0.000
-3.443 0.000 5.256
Sm Ag Os
8 2 1
Direct
0.000 0.000 0.000
0.091 0.474 0.147
0.127 0.892 0.484
0.434 0.662 0.851
0.474 0.091 0.147
0.553 0.553 0.378
0.662 0.434 0.851
0.892 0.127 0.484
0.562 0.990 0.660
0.990 0.562 0.660
0.273 0.273 0.869
```


Which of them is the least stable? Correct choice: b.